Material: CuWN2O
Method: DFT, GGA+U
State: relaxed

Computed properties:
The calculation puts the total energy at -27.385 eV/cell. As for the crystal system: tetragonal. As for the calculated volume: 52 Å³/cell. Its space-group type is P4/mmm.

Unit cell a=3.7440 b=3.7440 c=3.6967 alpha=90.00 beta=90.00 gamma=90.00
Last column: nearest neighbours and their distance in Å.
Sites, in units of the cell vectors:
O1 0.0000 0.0000 0.5000  2 Cu 1.85
Cu1 0.0000 0.0000 0.0000  2 O 1.85, 4 N 1.87
W1 0.5000 0.5000 0.5000  8 N 2.63, 4 O 2.65
N1 0.0000 0.5000 0.0000  2 Cu 1.87
N2 0.5000 0.0000 0.0000  2 Cu 1.87